1.
Compound: TcNi4Ru
Source: the Alexandria database
Functional: PBE
Structure: optimized geometry

Cell: 8.5037 8.5037 4.2008 Å, 75.70 75.70 29.51°
Fractional coordinates of all 12 atoms:
Tc  0.1924  0.8076  0.2500
Tc  0.8076  0.1924  0.7500
Ni  0.0527  0.6235  0.4119
Ni  0.3765  0.9473  0.0881
Ni  0.9473  0.3765  0.5881
Ni  0.2233  0.6071  0.8348
Ni  0.7767  0.3929  0.1652
Ni  0.6235  0.0527  0.9119
Ni  0.3929  0.7767  0.6652
Ni  0.6071  0.2233  0.3348
Ru  0.0000  0.5000  0.0000
Ru  0.5000  0.0000  0.5000

Values from the calculation:
Formation enthalpy at 0 K (eV/atom): 0.1222
Energy relative to the lowest polymorph listed for this composition (meV per atom): 25
Crystal system: orthorhombic

=====

2.
Compound: TcNCl3
Source: the Alexandria database
Functional: PBE
Structure: optimized geometry

Cell: 4.6858 4.6858 4.6858 Å, 90.00 90.00 90.00°
Fractional coordinates of all 5 atoms:
Cl  0.5000  0.0000  0.0000
Cl  0.0000  0.5000  0.0000
Cl  0.0000  0.0000  0.5000
N  0.5000  0.5000  0.5000
Tc  0.0000  0.0000  0.0000

Values from the calculation:
Energy relative to the lowest polymorph listed for this composition (meV per atom): 1612
Formation energy from raw total energies (eV/atom): 1.248
Crystal system: cubic

=====

3.
Compound: LaSmDy2Sb4
Source: the Alexandria database
Functional: PBE
Structure: optimized geometry

Cell: 4.4738 7.7301 7.7421 Å, 70.50 90.00 90.00°
Fractional coordinates of all 8 atoms:
Sb  0.0000  0.2392  0.2571
Sb  0.0000  0.7608  0.7429
Sb  0.5000  0.7583  0.2506
Sb  0.5000  0.2417  0.7494
Sm  0.0000  0.5000  0.5000
La  0.5000  0.5000  0.0000
Dy  0.5000  0.0000  0.5000
Dy  0.0000  0.0000  0.0000

Values from the calculation:
Formation energy from raw total energies (eV/atom): -1.174
Crystal system: monoclinic

=====

4.
Compound: ZrMnN2
Source: the Alexandria database
Functional: PBE
Structure: optimized geometry

Cell: 3.8167 3.8167 3.8167 Å, 60.00 60.00 60.00°
Last column: magnetic moment on the atom in μB.
Fractional coordinates of all 4 atoms:
N  0.2500  0.2500  0.2500  -0.08
N  0.7500  0.7500  0.7500  -0.08
Zr  0.5000  0.5000  0.5000  -0.05
Mn  0.0000  0.0000  0.0000  1.23

Values from the calculation:
Formation energy from raw total energies (eV/atom): -0.284
Crystal system: cubic

=====

| no. | calculated total energy (eV/atom) |
| --- | --- |
| 1 | -7.0057 |
| 2 | -3.5984 |
| 3 | -5.5917 |
| 4 | -8.8758 |